1.
Below is HfCo3H after structural relaxation, with properties calculated at the PBE-GGA level.

Summary:
Calculated total energy = -31.177 eV for the cell shown
Total magnetic moment = 3.14 μB/cell
Crystal system = orthorhombic

Lattice parameters (Å, degrees): 2.722 6.270 6.270 134.58 90.00 90.00
Each line ends with the local moment (μB).
Fractional coordinates of all 5 atoms:
H 0.000 0.438 0.562  -0.01
Co 0.500 0.135 0.326  1.27
Co 0.000 0.281 0.719  0.99
Co 0.500 0.674 0.865  1.26
Hf 0.500 0.100 0.900  -0.25

***

2.
Below is Hf2InCoH after structural relaxation, with properties calculated at the PBE-GGA level.

Summary:
Calculated total energy = -33.908 eV for the cell shown
Total magnetic moment = 1.36 μB/cell
Crystal system = tetragonal

Lattice parameters (Å, degrees): 4.417 4.417 3.899 90.00 90.00 90.00
Each line ends with the local moment (μB).
Fractional coordinates of all 5 atoms:
Hf 0.500 0.000 0.000  0.10
H 0.000 0.000 0.000  0.00
In 0.500 0.500 0.500  0.01
Co 0.000 0.000 0.500  1.10
Hf 0.000 0.500 0.000  0.10